The following is a PBE calculation of an optimized crystal structure of MnGaN2, from the Alexandria database.

Results
The value obtained for the formation energy without anion corrections is -0.171 eV per atom. The value obtained for the energy above the most stable polymorph in this dataset is 0.0 meV/atom.

abc: 4.573 4.573 5.566
angles: 65.74 65.74 90.00
Site moments in Bohr magnetons follow the coordinates.
Sites, in units of the cell vectors:
1 Mn 0.250 0.750 0.500  3.52
2 Mn 0.500 0.500 0.000  3.52
3 N 0.124 0.625 0.250  0.00
4 N 0.375 0.374 0.750  0.00
5 N 0.875 0.876 0.750  0.00
6 N 0.626 0.125 0.250  0.00
7 Ga 0.000 0.000 0.000  0.09
8 Ga 0.750 0.250 0.500  0.09

***

The following is a PBE calculation of an optimized crystal structure of GaCo3Se, from the Alexandria database.

Results
The value obtained for the formation energy without anion corrections is 0.598 eV per atom. The value obtained for the energy above the most stable polymorph in this dataset is 0.0 meV/atom.

abc: 4.361 4.361 4.361
angles: 90.00 90.00 90.00
Site moments in Bohr magnetons follow the coordinates.
Sites, in units of the cell vectors:
1 Co 0.500 0.000 0.000  1.55
2 Co 0.000 0.500 0.000  1.30
3 Co 0.000 0.000 0.500  1.21
4 Ga 0.500 0.500 0.500  0.07
5 Se 0.000 0.000 0.000  0.03

***

The following is a PBE calculation of an optimized crystal structure of LiSc2US6, from the Alexandria database.

Results
The value obtained for the formation energy without anion corrections is -1.561 eV per atom.

abc: 6.570 6.570 7.049
angles: 62.22 62.22 60.00
Site moments in Bohr magnetons follow the coordinates.
Sites, in units of the cell vectors:
1 Li 0.812 0.812 0.563  0.00
2 S 0.731 0.124 0.748  -0.03
3 S 0.608 0.229 0.249  -0.03
4 S 0.914 0.608 0.249  -0.03
5 S 0.397 0.731 0.748  -0.03
6 S 0.229 0.914 0.249  -0.03
7 S 0.124 0.397 0.748  -0.03
8 Sc 0.516 0.516 0.453  0.00
9 Sc 0.009 0.009 0.974  0.00
10 U 0.323 0.323 0.032  1.21

***

The following is a PBE calculation of an optimized crystal structure of Y2Zr5Ir3, from the Alexandria database.

Results
Its energy relative to the elements is -6.17 eV/f.u.

abc: 4.573 7.026 13.921
angles: 90.00 99.45 90.00
Sites, in units of the cell vectors:
1 Zr 0.704 0.457 0.409
2 Zr 0.127 0.225 0.255
3 Zr 0.708 0.035 0.415
4 Zr 0.598 0.879 0.195
5 Zr 0.873 0.725 0.745
6 Zr 0.296 0.957 0.591
7 Zr 0.402 0.379 0.805
8 Zr 0.292 0.535 0.585
9 Zr 0.946 0.083 0.893
10 Zr 0.054 0.583 0.107
11 Y 0.478 0.741 0.956
12 Y 0.827 0.243 0.654
13 Y 0.173 0.743 0.346
14 Y 0.522 0.241 0.044
15 Ir 0.604 0.488 0.208
16 Ir 0.953 0.466 0.905
17 Ir 0.772 0.750 0.544
18 Ir 0.228 0.250 0.456
19 Ir 0.047 0.966 0.095
20 Ir 0.396 0.988 0.792

***

The following is a PBE calculation of an optimized crystal structure of Sc4FeSb, from the Alexandria database.

Results
The value obtained for the formation energy without anion corrections is 0.340 eV per atom. The value obtained for the energy above the most stable polymorph in this dataset is 787.3 meV/atom.

abc: 5.744 5.744 5.744
angles: 60.00 60.00 60.00
Site moments in Bohr magnetons follow the coordinates.
Sites, in units of the cell vectors:
1 Fe 0.750 0.750 0.750  2.90
2 Sb 0.000 0.000 0.000  0.01
3 Sc 0.376 0.873 0.376  -0.14
4 Sc 0.873 0.376 0.376  -0.14
5 Sc 0.376 0.376 0.376  -0.14
6 Sc 0.376 0.376 0.873  -0.14

***

The following is a PBE calculation of an optimized crystal structure of MnBAu, from the Alexandria database.

Results
Its energy relative to the elements is 1.56 eV/f.u.

abc: 2.851 2.851 5.549
angles: 90.00 90.00 120.00
Site moments in Bohr magnetons follow the coordinates.
Sites, in units of the cell vectors:
1 B 0.667 0.333 0.681  -0.12
2 Au 0.667 0.333 0.288  -0.01
3 Mn 0.000 0.000 0.876  1.31

***

The following is a PBE calculation of an optimized crystal structure of BeTl3Bi, from the Alexandria database.

Results
Its energy relative to the elements is 4.90 eV/f.u. The value obtained for the energy above the most stable polymorph in this dataset is 669.9 meV/atom.

abc: 6.187 6.187 6.187
angles: 90.00 90.00 90.00
Sites, in units of the cell vectors:
1 Be 0.500 0.500 0.500
2 Tl 0.000 0.000 0.500
3 Tl 0.500 0.000 0.000
4 Tl 0.000 0.500 0.000
5 Bi 0.000 0.000 0.000

***

The following is a PBE calculation of an optimized crystal structure of AcPmMgCd, from the Alexandria database.

Results
Its energy relative to the elements is -0.69 eV/f.u. The value obtained for the energy above the most stable polymorph in this dataset is 19.8 meV/atom.

abc: 5.618 5.618 5.618
angles: 60.00 60.00 60.00
Sites, in units of the cell vectors:
1 Pm 0.250 0.250 0.250
2 Ac 0.750 0.750 0.750
3 Cd 0.500 0.500 0.500
4 Mg 0.000 0.000 0.000

***

The following is a PBE calculation of an optimized crystal structure of GePSeN2, from the Alexandria database.

Results
The value obtained for the formation energy without anion corrections is 1.295 eV per atom. The value obtained for the energy above the most stable polymorph in this dataset is 360.5 meV/atom.

abc: 3.611 3.611 8.006
angles: 90.00 90.00 90.00
Sites, in units of the cell vectors:
1 N 0.000 0.500 0.000
2 N 0.500 0.000 0.000
3 Se 0.000 0.000 0.500
4 P 0.500 0.500 0.500
5 Ge 0.000 0.000 0.000

***

The following is a PBE calculation of an optimized crystal structure of Ce5Pb4C, from the Alexandria database.

Results
Its energy relative to the elements is -2.02 eV/f.u.

abc: 6.222 7.537 7.537
angles: 80.19 65.62 65.62
Site moments in Bohr magnetons follow the coordinates.
Sites, in units of the cell vectors:
1 Ce 0.110 0.661 0.111  0.70
2 Ce 0.882 0.339 0.889  0.70
3 Ce 0.220 0.889 0.661  0.70
4 Ce 0.460 0.000 0.000  0.73
5 Ce 0.771 0.111 0.339  0.70
6 Pb 0.164 0.281 0.389  -0.01
7 Pb 0.446 0.389 0.719  -0.01
8 Pb 0.835 0.719 0.611  -0.01
9 Pb 0.554 0.611 0.281  -0.01
10 C 0.068 0.000 0.000  -0.05

***

The following is a PBE calculation of an optimized crystal structure of TcRhSe, from the Alexandria database.

Results
The value obtained for the formation energy without anion corrections is 0.163 eV per atom. The value obtained for the energy above the most stable polymorph in this dataset is 119.8 meV/atom.

abc: 4.101 4.101 4.101
angles: 60.00 60.00 60.00
Site moments in Bohr magnetons follow the coordinates.
Sites, in units of the cell vectors:
1 Tc 0.000 0.000 0.000  0.41
2 Rh 0.500 0.500 0.500  0.00
3 Se 0.750 0.750 0.750  -0.01

***

The following is a PBE calculation of an optimized crystal structure of KRb2As2Pd, from the Alexandria database.

Results
Its energy relative to the elements is -1.84 eV/f.u.

abc: 7.260 8.667 8.928
angles: 119.04 113.99 90.00
Sites, in units of the cell vectors:
1 Rb 0.695 0.854 0.391
2 Rb 0.195 0.537 0.391
3 Rb 0.805 0.463 0.609
4 Rb 0.305 0.146 0.609
5 As 0.447 0.633 0.894
6 As 0.947 0.261 0.894
7 As 0.553 0.367 0.106
8 As 0.053 0.739 0.106
9 K 0.250 0.000 0.000
10 K 0.750 0.000 0.000
11 Pd 0.750 0.500 0.000
12 Pd 0.250 0.500 0.000

***

The following is a PBE calculation of an optimized crystal structure of ZnRe2Br, from the Alexandria database.

Results
The value obtained for the formation energy without anion corrections is 0.934 eV per atom. The value obtained for the energy above the most stable polymorph in this dataset is 665.3 meV/atom.

abc: 8.908 8.908 8.908
angles: 18.68 18.68 18.68
Sites, in units of the cell vectors:
1 Re 0.999 0.999 0.999
2 Re 0.501 0.501 0.501
3 Br 0.750 0.750 0.750
4 Zn 0.250 0.250 0.250

***

The following is a PBE calculation of an optimized crystal structure of CdSbIr4, from the Alexandria database.

Results
The value obtained for the formation energy without anion corrections is 0.323 eV per atom.

abc: 5.321 5.321 5.321
angles: 60.00 60.00 60.00
Sites, in units of the cell vectors:
1 Cd 0.000 0.000 0.000
2 Ir 0.876 0.375 0.375
3 Ir 0.375 0.876 0.375
4 Ir 0.375 0.375 0.876
5 Ir 0.375 0.375 0.375
6 Sb 0.750 0.750 0.750

***

The following is a PBE calculation of an optimized crystal structure of SmEr3N4, from the Alexandria database.

Results
The value obtained for the formation energy without anion corrections is -1.692 eV per atom. The value obtained for the energy above the most stable polymorph in this dataset is 0.0 meV/atom.

abc: 6.007 6.008 6.943
angles: 90.00 90.00 109.47
Sites, in units of the cell vectors:
1 N 0.505 0.252 0.379
2 N 0.005 0.252 0.621
3 N 0.995 0.748 0.379
4 N 0.501 0.742 0.130
5 N 0.499 0.258 0.870
6 N 0.001 0.742 0.870
7 N 0.999 0.258 0.130
8 N 0.495 0.748 0.621
9 Er 0.750 0.500 0.624
10 Er 0.250 0.500 0.873
11 Er 0.250 0.000 0.623
12 Er 0.750 0.000 0.377
13 Er 0.750 0.500 0.127
14 Er 0.250 0.500 0.376
15 Sm 0.750 0.000 0.873
16 Sm 0.250 0.000 0.127

***

The following is a PBE calculation of an optimized crystal structure of Zr2Ga2Rh3, from the Alexandria database.

Results
Its energy relative to the elements is -4.59 eV/f.u.

abc: 4.386 4.386 7.837
angles: 89.98 106.28 120.03
Sites, in units of the cell vectors:
1 Rh 0.493 0.747 0.239
2 Rh 0.000 0.000 0.000
3 Rh 0.507 0.253 0.761
4 Zr 0.245 0.122 0.366
5 Zr 0.755 0.878 0.634
6 Ga 0.243 0.621 0.864
7 Ga 0.757 0.379 0.136

***

The following is a PBE calculation of an optimized crystal structure of Ce7Pu, from the Alexandria database.

Results
Its energy relative to the elements is 0.13 eV/f.u.

abc: 6.645 6.645 6.645
angles: 60.00 60.00 60.00
Site moments in Bohr magnetons follow the coordinates.
Sites, in units of the cell vectors:
1 Ce 0.000 0.000 0.500  -0.12
2 Ce 0.000 0.500 0.500  -0.12
3 Ce 0.000 0.500 0.000  -0.12
4 Ce 0.500 0.000 0.500  -0.12
5 Ce 0.500 0.500 0.500  -0.39
6 Ce 0.500 0.000 0.000  -0.12
7 Ce 0.500 0.500 0.000  -0.12
8 Pu 0.000 0.000 0.000  5.19

***

The following is a PBE calculation of an optimized crystal structure of Sr2ZnRu, from the Alexandria database.

Results
Its energy relative to the elements is 0.47 eV/f.u.

abc: 3.573 3.573 8.717
angles: 90.00 90.00 90.00
Sites, in units of the cell vectors:
1 Sr 0.000 0.000 0.914
2 Sr 0.500 0.500 0.336
3 Zn 0.000 0.000 0.581
4 Ru 0.500 0.500 0.669

***

The following is a PBE calculation of an optimized crystal structure of Ac2TmHgTe5, from the Alexandria database.

Results
The value obtained for the formation energy without anion corrections is -1.202 eV per atom.

abc: 4.533 10.033 13.721
angles: 90.00 90.00 103.06
Sites, in units of the cell vectors:
1 Ac 0.121 0.242 0.685
2 Ac 0.875 0.749 0.806
3 Ac 0.125 0.251 0.306
4 Ac 0.879 0.758 0.185
5 Tm 0.190 0.380 0.005
6 Tm 0.810 0.620 0.505
7 Te 0.041 0.082 0.086
8 Te 0.497 0.993 0.277
9 Te 0.702 0.404 0.844
10 Te 0.707 0.413 0.158
11 Te 0.298 0.596 0.344
12 Te 0.959 0.918 0.586
13 Te 0.650 0.301 0.499
14 Te 0.503 0.007 0.777
15 Te 0.293 0.587 0.658
16 Te 0.350 0.699 0.999
17 Hg 0.566 0.131 0.964
18 Hg 0.434 0.869 0.464

***

The following is a PBE calculation of an optimized crystal structure of K2ScNi, from the Alexandria database.

Results
Its energy relative to the elements is 3.43 eV/f.u. The value obtained for the energy above the most stable polymorph in this dataset is 888.3 meV/atom.

abc: 3.238 3.238 11.653
angles: 90.00 90.00 90.00
Site moments in Bohr magnetons follow the coordinates.
Sites, in units of the cell vectors:
1 K 0.000 0.000 0.447  0.00
2 K 0.000 0.000 0.052  0.00
3 Ni 0.500 0.500 0.250  0.33
4 Sc 0.500 0.500 0.750  0.32